A plane-wave DFT calculation with SCAN was carried out for a crystal of ScTaS2N relaxed with PBEsol.

POSCAR file:
```
ScTaS2N
1.0
-0.532 3.033 -2.314
-3.207 -2.473 -2.504
-3.458 1.581 2.866
Sc S N Ta
1 2 1 1
Cartesian
0.000 0.000 0.000
-1.729 0.791 1.433
-1.603 -1.236 -1.252
-0.266 1.516 -1.157
-3.598 1.070 -0.976
```

Computed properties:
**Raw total energy**: -21.584 eV/atom